# 1
Tm7InPd4 | Alexandria | PBE | optimized geometry; calculated total energy = -5.04 eV per atom; DFT formation energy = -472 meV/atom
1.0
6.791 -2.775 0.000
6.791 2.775 0.000
-5.457 0.000 7.814
Tm In Pd
7 1 4
Direct
0.000 0.000 0.000
0.192 0.192 0.639
0.289 0.289 0.118
0.430 0.430 0.622
0.570 0.570 0.378
0.711 0.711 0.882
0.808 0.808 0.361
0.500 0.500 0.000
0.063 0.063 0.770
0.201 0.201 0.341
0.799 0.799 0.659
0.937 0.937 0.230

---

# 2
Tm2In3Pd7 | Alexandria | PBE | optimized geometry; E above lowest polymorph = 0.000 eV/atom; calculated total energy = -5.02 eV per atom; DFT formation energy = -563 meV/atom
1.0
4.803 0.000 0.000
0.000 4.590 0.000
-2.398 0.000 10.935
Tm In Pd
2 3 7
Direct
0.153 0.000 0.305
0.847 0.000 0.695
0.000 0.000 0.000
0.356 0.500 0.713
0.644 0.500 0.287
0.073 0.500 0.147
0.285 0.000 0.570
0.429 0.000 0.857
0.500 0.500 0.000
0.571 0.000 0.143
0.715 0.000 0.430
0.927 0.500 0.853

---

# 3
Tm2InPd | Alexandria | PBE | optimized geometry; E above lowest polymorph = 0.079 eV/atom; calculated total energy = -4.84 eV per atom; DFT formation energy = -623 meV/atom
1.0
7.200 0.000 0.000
0.000 7.200 0.000
0.000 0.000 7.200
Tm In Pd
8 4 4
Direct
0.250 0.250 0.250
0.250 0.250 0.750
0.250 0.750 0.250
0.250 0.750 0.750
0.750 0.250 0.250
0.750 0.250 0.750
0.750 0.750 0.250
0.750 0.750 0.750
0.000 0.000 0.000
0.000 0.500 0.500
0.500 0.000 0.500
0.500 0.500 0.000
0.000 0.000 0.500
0.000 0.500 0.000
0.500 0.000 0.000
0.500 0.500 0.500